Model i:
# CrTc2Os

A geometry-optimized CrTc2Os structure (GGA-PBEsol, Alexandria).

abc: 2.6749 2.6749 7.4809
angles: 90.00 90.00 90.00
Positions (direct):
1 Cr 0.0000 0.0000 0.0000
2 Tc 0.5000 0.5000 0.2391
3 Tc 0.5000 0.5000 0.7609
4 Os 0.0000 0.0000 0.5000

Model ii:
# CrTc2Os

A geometry-optimized CrTc2Os structure (GGA-PBEsol, Alexandria).

abc: 2.6831 4.0547 5.1156
angles: 90.00 105.23 90.00
Positions (direct):
1 Cr 0.0000 0.0000 0.0000
2 Tc 0.2551 0.0000 0.5030
3 Tc 0.8793 0.5000 0.7523
4 Os 0.6137 0.5000 0.2225

Model iii:
# CrTc2Os

A geometry-optimized CrTc2Os structure (GGA-PBEsol, Alexandria).

abc: 3.7640 3.7640 3.7894
angles: 90.00 90.00 90.00
Positions (direct):
1 Cr 0.0000 0.0000 0.0000
2 Tc 0.0000 0.5000 0.5000
3 Tc 0.5000 0.0000 0.5000
4 Os 0.5000 0.5000 0.0000

Energetically preferred structure: model ii | next structure: +8 meV/atom

Model i:
# CrTc2Os

A geometry-optimized CrTc2Os structure (GGA-PBEsol, Alexandria).

abc: 8.7674 8.7674 8.7674
angles: 17.61 17.61 17.61
Positions (direct):
1 Cr 0.0000 0.0000 0.0000
2 Tc 0.4995 0.4995 0.4995
3 Tc 0.7492 0.7492 0.7492
4 Os 0.2546 0.2546 0.2546

Model ii:
# CrTc2Os

A geometry-optimized CrTc2Os structure (GGA-PBEsol, Alexandria).

abc: 2.6791 3.7426 5.3549
angles: 90.00 90.00 90.00
Positions (direct):
1 Cr 0.0000 0.0000 0.0000
2 Tc 0.0000 0.0000 0.4988
3 Tc 0.5000 0.5000 0.7551
4 Os 0.5000 0.5000 0.2359

Energetically preferred structure: model ii | next structure: +26 meV/atom

Model i:
# Tl2CrOs

A geometry-optimized Tl2CrOs structure (GGA-PBEsol, Alexandria).

abc: 8.9129 8.9129 8.9129
angles: 20.25 20.25 20.25
Positions (direct):
1 Tl 0.2489 0.2489 0.2489
2 Tl 0.7511 0.7511 0.7511
3 Cr 0.0000 0.0000 0.0000
4 Os 0.5000 0.5000 0.5000

Model ii:
# Tl2CrOs

A geometry-optimized Tl2CrOs structure (GGA-PBEsol, Alexandria).

abc: 4.6977 4.6977 4.6977
angles: 60.00 60.00 60.00
Positions (direct):
1 Tl 0.0000 0.0000 0.0000
2 Tl 0.2500 0.2500 0.2500
3 Cr 0.7500 0.7500 0.7500
4 Os 0.5000 0.5000 0.5000

Model iii:
# Tl2CrOs

A geometry-optimized Tl2CrOs structure (GGA-PBEsol, Alexandria).

abc: 4.8004 4.8004 5.1595
angles: 101.19 101.19 38.68
Positions (direct):
1 Tl 0.2479 0.2479 0.2466
2 Tl 0.7521 0.7521 0.7534
3 Cr 0.0000 0.0000 0.5000
4 Os 0.5000 0.5000 0.0000

Energetically preferred structure: model iii | next structure: +77 meV/atom

Model i:
# TlCrOs2

A geometry-optimized TlCrOs2 structure (GGA-PBEsol, Alexandria).

abc: 4.4092 4.4092 4.4092
angles: 60.00 60.00 60.00
Positions (direct):
1 Tl 0.0000 0.0000 0.0000
2 Cr 0.5000 0.5000 0.5000
3 Os 0.2500 0.2500 0.2500
4 Os 0.7500 0.7500 0.7500

Model ii:
# TlCrOs2

A geometry-optimized TlCrOs2 structure (GGA-PBEsol, Alexandria).

abc: 9.1478 9.1478 9.1478
angles: 17.63 17.63 17.63
Positions (direct):
1 Tl 0.0000 0.0000 0.0000
2 Cr 0.5000 0.5000 0.5000
3 Os 0.2384 0.2384 0.2384
4 Os 0.7616 0.7616 0.7616

Model iii:
# TlCrOs2

A geometry-optimized TlCrOs2 structure (GGA-PBEsol, Alexandria).

abc: 2.9638 4.4916 4.6363
angles: 90.00 90.00 90.00
Positions (direct):
1 Tl 0.0000 0.0000 0.0000
2 Cr 0.5000 0.0000 0.5000
3 Os 0.0000 0.5000 0.5000
4 Os 0.5000 0.5000 0.0000

Energetically preferred structure: model ii | next structure: +224 meV/atom